# 1
{
  "formula": "Dy3In3NiRu2",
  "functional": "GGA-PBE",
  "state": "relaxed",
  "cell": [[3.8493, 0.0000, 0.0000], [0.0000, 7.5099, 0.0000], [0.0000, -3.7550, 6.5038]],
  "species": ["Ru", "Ru", "Dy", "Dy", "Dy", "In", "In", "In", "Ni"],
  "fractional_positions": [[0.5000, 0.3333, 0.6667], [0.5000, 0.6667, 0.3333], [0.0000, 0.4094, 0.0000], [0.0000, 0.5906, 0.5906], [0.0000, 0.0000, 0.4094], [0.5000, 0.7474, 0.0000], [0.5000, 0.0000, 0.7474], [0.5000, 0.2526, 0.2526], [0.0000, 0.0000, 0.0000]],
  "sg": "P-62m, No. 189",
  "delta_e_f_ev_per_atom": -0.4276,
  "m_tot_mub_per_fu": 0.0,
  "n_ef_per_ev_cell": 8.32,
  "rho_g_cm3": 9.65
}

# 2
{
  "formula": "DyScInNi",
  "functional": "GGA-PBE",
  "state": "relaxed",
  "cell": [[-4.8569, 0.9339, 0.1854], [-2.8260, -0.7913, -3.9854], [-3.2420, -3.7396, -0.0319]],
  "species": ["Ni", "Sc", "Dy", "In"],
  "fractional_positions": [[0.2500, 0.2500, 0.2500], [0.0000, 0.0000, 0.0000], [0.5000, 0.5000, 0.5000], [0.7500, 0.7500, 0.7500]],
  "sg": "F-43m, No. 216",
  "delta_e_f_ev_per_atom": -0.3186,
  "m_tot_mub_per_fu": 0.0,
  "n_ef_per_ev_cell": 3.71,
  "rho_g_cm3": 7.38
}